Here is a relaxed Cd2ReHg crystal from Alexandria. Energies are from PBE-GGA.

a b c (Å): 4.7818 4.7818 4.7818
angles (deg): 60.00 60.00 60.00
With the nearest neighbours (Å) after each atom.
Element x y z (fractional)
Hg 0.5000 0.5000 0.5000  4 Cd 2.93, 4 Re 2.93
Cd 0.0000 0.0000 0.0000  4 Re 2.93, 4 Cd 2.93
Cd 0.7500 0.7500 0.7500  4 Cd 2.93, 4 Hg 2.93
Re 0.2500 0.2500 0.2500  4 Hg 2.93, 4 Cd 2.93

## Properties
Energy of formation from the pure elements   0.84 eV per atom
E   -11.2 eV per cell